The following is a DFT calculation (meta-GGA SCAN) of a crystal of BeCrAg2 relaxed with PBEsol.

Calculated values
Formation energy in meV/atom: 212
Uncorrected energy in Ry/atom: -1.555
Crystal system: tetragonal

a b c (Å): 2.9163 2.9163 6.6043
angles (deg): 90.00 90.00 90.00
Last column: magnetic moment on the atom in μB.
Sites, in units of the cell vectors:
Cr: 0.5000 0.5000 0.5000  3.75
Ag: 0.0000 0.0000 0.7845  0.02
Ag: 0.0000 0.0000 0.2155  0.02
Be: 0.5000 0.5000 0.0000  -0.01